Run 1
CaDySb2 | PBE | relaxed

Cell lengths 4.3380, 4.3380, 8.0650 Å; angles 74.40, 74.40, 60.00 degrees
Last column: nearest neighbours and their distance in Å.
Element x y z (fractional)
Sb 0.2538 0.2538 0.2387  3 Dy 3.10, 3 Ca 3.21
Sb 0.7462 0.7462 0.7613  3 Dy 3.10, 3 Ca 3.21
Ca 0.5000 0.5000 0.5000  6 Sb 3.21
Dy 0.0000 0.0000 0.0000  6 Sb 3.10

Symmetry ... No. 166

Run 2
CaDySb2 | PBE | relaxed

Cell lengths 4.5990, 4.5990, 7.5128 Å; angles 72.18, 72.18, 60.00 degrees
Last column: nearest neighbours and their distance in Å.
Element x y z (fractional)
Sb 0.2465 0.2465 0.2605  3 Dy 3.19, 3 Ca 3.26, 1 Sb 3.35
Sb 0.0875 0.0875 0.7374  3 Dy 3.09, 3 Ca 3.20, 1 Sb 3.35
Dy 0.4961 0.4961 0.5116  6 Sb 3.09-3.19
Ca 0.6698 0.6698 0.9905  6 Sb 3.20-3.26

Symmetry ... No. 160

Verdict on stability: run 2 comes out at the bottom.

Run 1
CaDy2Sc | PBE | relaxed

Cell lengths 3.5274, 3.5274, 11.9020 Å; angles 81.48, 81.48, 60.00 degrees
Last column: nearest neighbours and their distance in Å.
Element x y z (fractional)
Dy 0.0753 0.0753 0.7742  3 Sc 3.35, 6 Dy 3.53
Dy 0.2581 0.2581 0.2258  3 Sc 3.33, 6 Dy 3.53
Ca 0.5003 0.5003 0.4992  6 Ca 3.53, 6 Dy 3.80-3.81
Sc 0.6664 0.6664 0.0008  6 Dy 3.33-3.35, 6 Sc 3.53

Symmetry ... No. 160

Run 2
CaDy2Sc | PBE | relaxed

Cell lengths 3.8393, 3.8393, 8.8123 Å; angles 90.00, 90.00, 90.00 degrees
Last column: nearest neighbours and their distance in Å.
Element x y z (fractional)
Sc 0.5000 0.5000 0.0000  8 Dy 3.26
Dy 0.0000 0.0000 0.7961  4 Sc 3.26, 1 Dy 3.59
Dy 0.0000 0.0000 0.2039  4 Sc 3.26, 1 Dy 3.59
Ca 0.5000 0.5000 0.5000  8 Dy 3.77, 4 Ca 3.84

Symmetry ... No. 123

Verdict on stability: run 1 comes out at the bottom.

Run 1
CaDy2Sc | PBE | relaxed

Cell lengths 3.4790, 3.4790, 12.3985 Å; angles 81.93, 81.93, 60.00 degrees
Last column: nearest neighbours and their distance in Å.
Element x y z (fractional)
Dy 0.9061 0.9061 0.2818  3 Sc 3.34, 1 Ca 3.45, 6 Dy 3.48
Dy 0.0939 0.0939 0.7182  3 Sc 3.34, 1 Ca 3.45, 6 Dy 3.48
Sc 0.5000 0.5000 0.5000  6 Dy 3.34, 6 Sc 3.48
Ca 0.0000 0.0000 0.0000  2 Dy 3.45, 6 Ca 3.48

Symmetry ... No. 166

Run 2
CaDy2Sc | PBE | relaxed

Cell lengths 4.9210, 5.0287, 5.0287 Å; angles 90.00, 90.00, 90.00 degrees
Last column: nearest neighbours and their distance in Å.
Element x y z (fractional)
Dy 0.0000 0.5000 0.0000  4 Ca 3.52, 4 Sc 3.52, 4 Dy 3.56
Dy 0.0000 0.0000 0.5000  4 Sc 3.52, 4 Ca 3.52, 4 Dy 3.56
Ca 0.5000 0.5000 0.5000  8 Dy 3.52, 4 Sc 3.56
Sc 0.5000 0.0000 0.0000  8 Dy 3.52, 4 Ca 3.56

Symmetry ... No. 123

Verdict on stability: run 1 comes out at the bottom.

Run 1
Ca2DySe3 | PBE | relaxed

Cell lengths 4.1415, 5.8737, 7.2059 Å; angles 114.05, 106.70, 90.00 degrees
Last column: nearest neighbours and their distance in Å.
Element x y z (fractional)
Dy 0.5000 0.5000 0.5000  6 Se 2.90-2.94
Ca 0.8319 0.8319 0.1638  6 Se 2.94-2.96
Ca 0.1681 0.1681 0.8362  6 Se 2.94-2.96
Se 0.5000 0.0000 0.5000  2 Dy 2.94, 4 Ca 2.95
Se 0.1629 0.6629 0.8259  2 Dy 2.90, 4 Ca 2.94-2.96
Se 0.8371 0.3371 0.1741  2 Dy 2.90, 4 Ca 2.94-2.96

Symmetry ... No. 71

Run 2
Ca2DySe3 | PBE | relaxed

Cell lengths 7.1974, 7.1974, 13.1187 Å; angles 100.56, 100.56, 109.39 degrees
Last column: nearest neighbours and their distance in Å.
Element x y z (fractional)
Se 0.0839 0.0790 0.6684  2 Dy 2.91, 4 Ca 2.95-2.97
Se 0.0048 0.5048 0.5000  2 Dy 2.90, 4 Ca 2.94-2.96
Se 0.7548 0.7548 0.0000  2 Dy 2.90, 4 Ca 2.94-2.96
Se 0.4952 0.9952 0.5000  2 Dy 2.90, 4 Ca 2.94-2.96
Se 0.5845 0.5894 0.6684  2 Dy 2.91, 4 Ca 2.95-2.97
Se 0.4106 0.4155 0.3316  2 Dy 2.91, 4 Ca 2.95-2.97
Se 0.1661 0.6710 0.8316  2 Dy 2.91, 4 Ca 2.95-2.97
Se 0.9210 0.9161 0.3316  2 Dy 2.91, 4 Ca 2.95-2.97
Se 0.2452 0.2452 0.0000  2 Dy 2.90, 4 Ca 2.94-2.96
Se 0.3290 0.8339 0.1684  2 Dy 2.91, 4 Ca 2.95-2.97
Se 0.8394 0.3345 0.1684  2 Dy 2.91, 4 Ca 2.95-2.97
Se 0.6655 0.1606 0.8316  2 Dy 2.91, 4 Ca 2.95-2.97
Ca 0.9995 0.4995 0.9990  6 Se 2.94-2.96
Ca 0.5829 0.5829 0.1657  6 Se 2.95-2.97
Ca 0.8329 0.3329 0.6657  6 Se 2.95-2.97
Ca 0.7495 0.7495 0.4990  6 Se 2.94-2.96
Ca 0.2505 0.2505 0.5010  6 Se 2.94-2.96
Ca 0.5005 0.0005 0.0010  6 Se 2.94-2.96
Ca 0.6671 0.1671 0.3343  6 Se 2.95-2.97
Ca 0.4171 0.4171 0.8343  6 Se 2.95-2.97
Dy 0.9169 0.9169 0.8338  6 Se 2.90-2.91
Dy 0.1669 0.6669 0.3338  6 Se 2.90-2.91
Dy 0.3331 0.8331 0.6662  6 Se 2.90-2.91
Dy 0.0831 0.0831 0.1662  6 Se 2.90-2.91

Symmetry ... No. 70

Verdict on stability: run 1 comes out at the bottom.

Run 1
Ca2SmDy | PBE | relaxed

Cell lengths 3.6816, 3.6816, 12.4681 Å; angles 81.51, 81.51, 60.00 degrees
Last column: nearest neighbours and their distance in Å.
Element x y z (fractional)
Ca 0.2487 0.2487 0.2538  6 Ca 3.68, 3 Dy 3.69, 3 Sm 3.77
Ca 0.0845 0.0845 0.7465  6 Ca 3.68, 3 Dy 3.71, 3 Sm 3.77
Dy 0.5002 0.5002 0.4994  6 Dy 3.68, 6 Ca 3.69-3.71
Sm 0.6666 0.6666 0.0003  6 Sm 3.68, 6 Ca 3.77

Symmetry ... No. 160

Run 2
Ca2SmDy | PBE | relaxed

Cell lengths 4.1512, 4.1512, 8.3344 Å; angles 90.00, 90.00, 90.00 degrees
Last column: nearest neighbours and their distance in Å.
Element x y z (fractional)
Ca 0.0000 0.0000 0.2464  4 Dy 3.58, 4 Sm 3.62
Ca 0.0000 0.0000 0.7536  4 Dy 3.58, 4 Sm 3.62
Sm 0.5000 0.5000 0.5000  8 Ca 3.62
Dy 0.5000 0.5000 0.0000  8 Ca 3.58

Symmetry ... No. 123

Verdict on stability: run 2 comes out at the bottom.

Run 1
Ca2SmDy | PBE | relaxed

Cell lengths 3.5805, 3.5805, 13.3767 Å; angles 82.31, 82.31, 60.00 degrees
Last column: nearest neighbours and their distance in Å.
Element x y z (fractional)
Ca 0.9112 0.9112 0.2664  1 Sm 3.52, 6 Ca 3.58, 3 Dy 3.72
Ca 0.0888 0.0888 0.7336  1 Sm 3.52, 6 Ca 3.58, 3 Dy 3.72
Sm 0.0000 0.0000 0.0000  2 Ca 3.52, 6 Sm 3.58
Dy 0.5000 0.5000 0.5000  6 Dy 3.58, 6 Ca 3.72

Symmetry ... No. 166

Run 2
Ca2SmDy | PBE | relaxed

Cell lengths 3.7132, 3.7132, 12.4468 Å; angles 81.42, 81.42, 60.00 degrees
Last column: nearest neighbours and their distance in Å.
Element x y z (fractional)
Sm 0.2577 0.2577 0.2270  3 Dy 3.48, 6 Sm 3.71, 3 Ca 3.81
Ca 0.4158 0.4158 0.7526  9 Ca 3.71-3.93, 3 Dy 3.75
Ca 0.8386 0.8386 0.4843  9 Ca 3.71-3.93, 3 Sm 3.81
Dy 0.9989 0.9989 0.0032  3 Sm 3.48, 6 Dy 3.71, 3 Ca 3.75

Symmetry ... No. 160

Run 3
Ca2SmDy | PBE | relaxed

Cell lengths 5.5835, 5.0719, 5.0719 Å; angles 90.00, 90.00, 90.00 degrees
Last column: nearest neighbours and their distance in Å.
Element x y z (fractional)
Ca 0.0000 0.0000 0.5000  4 Ca 3.59, 4 Dy 3.77, 4 Sm 3.77
Ca 0.0000 0.5000 0.0000  4 Ca 3.59, 4 Dy 3.77, 4 Sm 3.77
Dy 0.5000 0.5000 0.5000  4 Sm 3.59, 8 Ca 3.77
Sm 0.5000 0.0000 0.0000  4 Dy 3.59, 8 Ca 3.77

Symmetry ... No. 123

Verdict on stability: run 1 comes out at the bottom.

Run 1
CaSm4Dy | PBE | relaxed

Cell lengths 6.7350, 6.7350, 6.7350 Å; angles 60.00, 60.00, 60.00 degrees
Last column: nearest neighbours and their distance in Å.
Element x y z (fractional)
Sm 0.6266 0.6266 0.6266  6 Sm 3.32-3.41
Sm 0.6266 0.6266 0.1201  6 Sm 3.32-3.41
Sm 0.6266 0.1201 0.6266  6 Sm 3.32-3.41
Sm 0.1201 0.6266 0.6266  6 Sm 3.32-3.41
Ca 0.2500 0.2500 0.2500  12 Sm 3.95, 4 Dy 4.12
Dy 0.0000 0.0000 0.0000  12 Sm 3.94, 4 Ca 4.12

Symmetry ... No. 216

Run 2
CaSm4Dy | PBE | relaxed

Cell lengths 3.6182, 5.1675, 11.0155 Å; angles 90.00, 90.02, 90.00 degrees
Last column: nearest neighbours and their distance in Å.
Element x y z (fractional)
Sm 0.4997 0.0000 0.1601  7 Sm 3.53-3.62, 4 Dy 3.61, 1 Ca 3.74
Sm 0.5003 0.0000 0.8399  7 Sm 3.53-3.62, 4 Dy 3.61, 1 Ca 3.74
Sm 0.0007 0.5000 0.6812  1 Dy 3.51, 6 Sm 3.61-3.62, 4 Ca 3.73
Sm 0.9993 0.5000 0.3188  1 Dy 3.51, 6 Sm 3.61-3.62, 4 Ca 3.73
Dy 0.0000 0.5000 0.0000  10 Sm 3.51-3.61, 2 Dy 3.62
Ca 0.5000 0.0000 0.5000  2 Ca 3.62, 10 Sm 3.73-3.74

Symmetry ... No. 47

Verdict on stability: run 1 comes out at the bottom.

Run 1
Ca2DySn | PBE | relaxed

Cell lengths 5.1302, 4.8496, 4.8496 Å; angles 90.00, 90.00, 90.00 degrees
Last column: nearest neighbours and their distance in Å.
Element x y z (fractional)
Ca 0.0000 0.0000 0.5000  4 Ca 3.43, 4 Dy 3.53, 4 Sn 3.53
Ca 0.0000 0.5000 0.0000  4 Ca 3.43, 4 Sn 3.53, 4 Dy 3.53
Sn 0.5000 0.5000 0.5000  4 Dy 3.43, 8 Ca 3.53
Dy 0.5000 0.0000 0.0000  4 Sn 3.43, 8 Ca 3.53

Symmetry ... No. 123

Run 2
Ca2DySn | PBE | relaxed

Cell lengths 3.6101, 3.6101, 12.5907 Å; angles 81.76, 81.76, 60.00 degrees
Last column: nearest neighbours and their distance in Å.
Element x y z (fractional)
Dy 0.5000 0.5000 0.5000  6 Dy 3.61, 6 Ca 3.67
Ca 0.9144 0.9144 0.2567  1 Sn 3.19
Ca 0.0856 0.0856 0.7433  1 Sn 3.19
Sn 0.0000 0.0000 0.0000  2 Ca 3.19

Symmetry ... No. 166

Verdict on stability: run 2 comes out at the bottom.